# Zr2Se2SI | OQMD via LeMat-Bulk | PBE | relaxed
data_Zr2Se2SI
_space_group_name_H-M_alt 'P 1'
_space_group_IT_number 1
_space_group_name_Hall 'P 1'
_cell_length_a 3.768
_cell_length_b 6.541
_cell_length_c 14.094
_cell_angle_alpha 90.00
_cell_angle_beta 90.00
_cell_angle_gamma 90.00
loop_
_atom_site_label
_atom_site_type_symbol
_atom_site_fract_x
_atom_site_fract_y
_atom_site_fract_z
_atom_site_occupancy
I1 I 0.500 0.805 0.369 1
I2 I 0.000 0.195 0.869 1
S1 S 0.000 0.303 0.407 1
S2 S 0.500 0.697 0.907 1
Se1 Se 0.500 0.358 0.119 1
Se2 Se 0.000 0.865 0.128 1
Se3 Se 0.000 0.642 0.619 1
Se4 Se 0.500 0.135 0.628 1
Zr1 Zr 0.000 0.547 0.010 1
Zr2 Zr 0.500 0.016 0.011 1
Zr3 Zr 0.500 0.453 0.510 1
Zr4 Zr 0.000 0.984 0.511 1
# space group	No. 31
# total moment	0.0	μB per formula unit
# E above lowest polymorph	0.0	meV/atom